A plane-wave DFT calculation with GGA-PBE was carried out for an optimized crystal structure of La2TmS3.

Summary:
Energy = -39.251 eV per formula unit

The structure in CIF format:
```
data_La2TmS3
_symmetry_space_group_name_H-M 'P -3 m 1'
_symmetry_Int_Tables_number 164
_symmetry_space_group_name_Hall '-P 3 2"'
_cell_length_a 4.0145
_cell_length_b 4.0145
_cell_length_c 10.0775
_cell_angle_alpha 90.00
_cell_angle_beta 90.00
_cell_angle_gamma 120.00
loop_
_atom_site_label
_atom_site_type_symbol
_atom_site_fract_x
_atom_site_fract_y
_atom_site_fract_z
La1 La 0.3333 0.6667 0.1727
Tm1 Tm 0.0000 0.0000 0.5000
S1 S 0.0000 0.0000 0.0000
S2 S 0.3333 0.6667 0.6454
```

=====

A plane-wave DFT calculation with GGA-PBE was carried out for an optimized crystal structure of LaTmS3.

Summary:
E above lowest polymorph = 0 meV/atom

The structure in CIF format:
```
data_LaTmS3
_symmetry_space_group_name_H-M 'P n m a'
_symmetry_Int_Tables_number 62
_symmetry_space_group_name_Hall '-P 2ac 2n'
_cell_length_a 16.449
_cell_length_b 3.993
_cell_length_c 21.395
_cell_angle_alpha 90.00
_cell_angle_beta 90.00
_cell_angle_gamma 90.00
loop_
_atom_site_label
_atom_site_type_symbol
_atom_site_fract_x
_atom_site_fract_y
_atom_site_fract_z
La1 La 0.159 0.250 0.246
La2 La 0.170 0.750 0.587
La3 La 0.194 0.250 0.921
Tm1 Tm 0.057 0.750 0.069
Tm2 Tm 0.066 0.250 0.421
Tm3 Tm 0.095 0.250 0.750
S1 S 0.036 0.750 0.682
S2 S 0.043 0.250 0.552
S3 S 0.051 0.750 0.193
S4 S 0.059 0.750 0.942
S5 S 0.146 0.750 0.352
S6 S 0.159 0.250 0.062
S7 S 0.176 0.750 0.815
S8 S 0.209 0.250 0.483
S9 S 0.231 0.250 0.679
```

=====

A plane-wave DFT calculation with GGA-PBE was carried out for an optimized crystal structure of LaTm2S3.

Summary:
Energy = -38.352 eV per formula unit

The structure in CIF format:
```
data_LaTm2S3
_symmetry_space_group_name_H-M 'P -3 m 1'
_symmetry_Int_Tables_number 164
_symmetry_space_group_name_Hall '-P 3 2"'
_cell_length_a 3.9021
_cell_length_b 3.9021
_cell_length_c 9.8483
_cell_angle_alpha 90.00
_cell_angle_beta 90.00
_cell_angle_gamma 120.00
loop_
_atom_site_label
_atom_site_type_symbol
_atom_site_fract_x
_atom_site_fract_y
_atom_site_fract_z
La1 La 0.0000 0.0000 0.0000
Tm1 Tm 0.3333 0.6667 0.6609
S1 S 0.0000 0.0000 0.5000
S2 S 0.3333 0.6667 0.1897
```

=====

A plane-wave DFT calculation with GGA-PBE was carried out for an optimized crystal structure of La2US5.

Summary:
Energy = -57.245 eV per formula unit

The structure in CIF format:
```
data_La2US5
_symmetry_space_group_name_H-M 'P n m a'
_symmetry_Int_Tables_number 62
_symmetry_space_group_name_Hall '-P 2ac 2n'
_cell_length_a 12.003
_cell_length_b 8.216
_cell_length_c 7.543
_cell_angle_alpha 90.00
_cell_angle_beta 90.00
_cell_angle_gamma 90.00
loop_
_atom_site_label
_atom_site_type_symbol
_atom_site_fract_x
_atom_site_fract_y
_atom_site_fract_z
La1 La 0.175 0.001 0.031
U1 U 0.007 0.250 0.565
S1 S 0.001 0.250 0.950
S2 S 0.092 0.538 0.663
S3 S 0.188 0.250 0.337
S4 S 0.213 0.750 0.312
```

=====

A plane-wave DFT calculation with GGA-PBE was carried out for an optimized crystal structure of La2ZrS5.

Summary:
Energy = -54.926 eV per formula unit

The structure in CIF format:
```
data_La2ZrS5
_symmetry_space_group_name_H-M 'P n m a'
_symmetry_Int_Tables_number 62
_symmetry_space_group_name_Hall '-P 2ac 2n'
_cell_length_a 11.515
_cell_length_b 8.242
_cell_length_c 7.415
_cell_angle_alpha 90.00
_cell_angle_beta 90.00
_cell_angle_gamma 90.00
loop_
_atom_site_label
_atom_site_type_symbol
_atom_site_fract_x
_atom_site_fract_y
_atom_site_fract_z
La1 La 0.171 0.002 0.058
Zr1 Zr 0.010 0.250 0.573
S1 S 0.004 0.250 0.942
S2 S 0.074 0.535 0.678
S3 S 0.193 0.250 0.359
S4 S 0.209 0.750 0.340
```

=====

A plane-wave DFT calculation with GGA-PBE was carried out for an optimized crystal structure of La2SmSb3.

Summary:
Energy = -34.392 eV per formula unit

The structure in CIF format:
```
data_La2SmSb3
_symmetry_space_group_name_H-M 'P -3 m 1'
_symmetry_Int_Tables_number 164
_symmetry_space_group_name_Hall '-P 3 2"'
_cell_length_a 4.5742
_cell_length_b 4.5742
_cell_length_c 11.2071
_cell_angle_alpha 90.00
_cell_angle_beta 90.00
_cell_angle_gamma 120.00
loop_
_atom_site_label
_atom_site_type_symbol
_atom_site_fract_x
_atom_site_fract_y
_atom_site_fract_z
La1 La 0.3333 0.6667 0.3302
Sm1 Sm 0.0000 0.0000 0.0000
Sb1 Sb 0.0000 0.0000 0.5000
Sb2 Sb 0.3333 0.6667 0.8395
```

=====

A plane-wave DFT calculation with GGA-PBE was carried out for an optimized crystal structure of LaThSb.

Summary:
Energy = -17.662 eV per formula unit

The structure in CIF format:
```
data_LaThSb
_symmetry_space_group_name_H-M 'F -4 3 m'
_symmetry_Int_Tables_number 216
_symmetry_space_group_name_Hall 'F -4 2 3'
_cell_length_a 7.492
_cell_length_b 7.492
_cell_length_c 7.492
_cell_angle_alpha 90.00
_cell_angle_beta 90.00
_cell_angle_gamma 90.00
loop_
_atom_site_label
_atom_site_type_symbol
_atom_site_fract_x
_atom_site_fract_y
_atom_site_fract_z
La1 La 0.000 0.000 0.000
Th1 Th 0.000 0.000 0.500
Sb1 Sb 0.250 0.250 0.250
```

=====

A plane-wave DFT calculation with GGA-PBE was carried out for an optimized crystal structure of La5ThSb6.

Summary:
Energy = -71.619 eV per formula unit

The structure in CIF format:
```
data_La5ThSb6
_symmetry_space_group_name_H-M 'C 1 2/m 1'
_symmetry_Int_Tables_number 12
_symmetry_space_group_name_Hall '-C 2y'
_cell_length_a 7.970
_cell_length_b 13.801
_cell_length_c 7.971
_cell_angle_alpha 90.00
_cell_angle_beta 109.46
_cell_angle_gamma 90.00
loop_
_atom_site_label
_atom_site_type_symbol
_atom_site_fract_x
_atom_site_fract_y
_atom_site_fract_z
La1 La 0.000 0.000 0.000
La2 La 0.000 0.166 0.500
La3 La 0.000 0.332 0.000
Th1 Th 0.000 0.500 0.500
Sb1 Sb 0.245 0.500 0.252
Sb2 Sb 0.246 0.336 0.747
```

=====

A plane-wave DFT calculation with GGA-PBE was carried out for an optimized crystal structure of La3ThSb4.

Summary:
Energy = -48.337 eV per formula unit

The structure in CIF format:
```
data_La3ThSb4
_symmetry_space_group_name_H-M 'C m m m'
_symmetry_Int_Tables_number 65
_symmetry_space_group_name_Hall '-C 2 2'
_cell_length_a 9.188
_cell_length_b 12.979
_cell_length_c 4.590
_cell_angle_alpha 90.00
_cell_angle_beta 90.00
_cell_angle_gamma 90.00
loop_
_atom_site_label
_atom_site_type_symbol
_atom_site_fract_x
_atom_site_fract_y
_atom_site_fract_z
La1 La 0.000 0.000 0.000
La2 La 0.250 0.250 0.500
Th1 Th 0.000 0.500 0.000
Sb1 Sb 0.000 0.253 0.000
Sb2 Sb 0.245 0.500 0.500
```

=====

A plane-wave DFT calculation with GGA-PBE was carried out for an optimized crystal structure of LaTmSb.

Summary:
Energy = -15.153 eV per formula unit

The structure in CIF format:
```
data_LaTmSb
_symmetry_space_group_name_H-M 'F -4 3 m'
_symmetry_Int_Tables_number 216
_symmetry_space_group_name_Hall 'F -4 2 3'
_cell_length_a 7.336
_cell_length_b 7.336
_cell_length_c 7.336
_cell_angle_alpha 90.00
_cell_angle_beta 90.00
_cell_angle_gamma 90.00
loop_
_atom_site_label
_atom_site_type_symbol
_atom_site_fract_x
_atom_site_fract_y
_atom_site_fract_z
La1 La 0.000 0.000 0.000
Tm1 Tm 0.000 0.000 0.500
Sb1 Sb 0.250 0.250 0.250
```

=====

A plane-wave DFT calculation with GGA-PBE was carried out for an optimized crystal structure of LaUSb.

Summary:
Energy = -19.057 eV per formula unit

The structure in CIF format:
```
data_LaUSb
_symmetry_space_group_name_H-M 'F -4 3 m'
_symmetry_Int_Tables_number 216
_symmetry_space_group_name_Hall 'F -4 2 3'
_cell_length_a 7.369
_cell_length_b 7.369
_cell_length_c 7.369
_cell_angle_alpha 90.00
_cell_angle_beta 90.00
_cell_angle_gamma 90.00
loop_
_atom_site_label
_atom_site_type_symbol
_atom_site_fract_x
_atom_site_fract_y
_atom_site_fract_z
La1 La 0.000 0.000 0.000
U1 U 0.250 0.250 0.250
Sb1 Sb 0.000 0.000 0.500
```

=====

A plane-wave DFT calculation with GGA-PBE was carried out for an optimized crystal structure of LaSc.

Summary:
E above lowest polymorph = 1507 meV/atom
ΔE_f = 1.636 eV/atom

The structure in CIF format:
```
data_LaSc
_symmetry_space_group_name_H-M 'F -4 3 m'
_symmetry_Int_Tables_number 216
_symmetry_space_group_name_Hall 'F -4 2 3'
_cell_length_a 6.261
_cell_length_b 6.261
_cell_length_c 6.261
_cell_angle_alpha 90.00
_cell_angle_beta 90.00
_cell_angle_gamma 90.00
loop_
_atom_site_label
_atom_site_type_symbol
_atom_site_fract_x
_atom_site_fract_y
_atom_site_fract_z
La1 La 0.000 0.000 0.000
Sc1 Sc 0.250 0.250 0.750
```

=====

| no. | ρ (g/cm³) |
| --- | --- |
| 1 | 6.41 |
| 2 | 5.73 |
| 3 | 7.33 |
| 4 | 6.04 |
| 5 | 5.00 |
| 6 | 6.49 |
| 7 | 7.78 |
| 8 | 6.66 |
| 9 | 6.89 |
| 10 | 7.23 |
| 11 | 8.28 |
| 12 | 4.98 |